Entry 1:
The following is a PBE calculation of crystalline Zr3CdN at its relaxed geometry, from Alexandria.

E_tot	-7.29	eV/atom
formation energy from raw total energies	-0.3125	eV/atom

a = 4.229 Å, b = 6.515 Å, c = 7.477 Å
α = 90.00°, β = 90.00°, γ = 90.00°
Space group Pmmn (No. 59, origin choice 2)
Asymmetric unit:
1 Zr 0.250 0.005 0.142 x4
2 Zr 0.250 0.750 0.593 x2
3 Cd 0.250 0.250 0.717 x2
4 N 0.250 0.250 0.322 x2



Entry 2:
The following is a PBE calculation of crystalline MnGePSN at its relaxed geometry, from Alexandria.

E_tot	-6.24	eV/atom
formation energy from raw total energies	0.0907	eV/atom
ΔE to the lowest computed polymorph	250	meV per atom

a = 4.264 Å, b = 4.385 Å, c = 5.046 Å
α = 74.95°, β = 79.58°, γ = 80.62°
Space group P1 (No. 1)
Asymmetric unit:
1 Mn 0.000 0.000 0.000 x1
2 Ge 0.165 0.614 0.674 x1
3 P 0.827 0.470 0.187 x1
4 S 0.512 0.150 0.802 x1
5 N 0.069 0.630 0.319 x1